No. 1
DFT (GGA-PBE) results for a geometry-optimized LaTb2Mg5 structure. Values from VASP.

Computed properties:
Symmetry: I4/mmm (139)
ΔE_f (eV per atom): -0.092

Geometry as Quantum ESPRESSO input:
```
&SYSTEM
  ibrav = 0, nat = 8, ntyp = 3
/
ATOMIC_SPECIES
Mg 24.30 Mg.upf
La 138.91 La.upf
Tb 158.93 Tb.upf
CELL_PARAMETERS angstrom
-0.526 0.415 -5.284
4.353 3.064 -0.193
2.434 -7.973 1.817
ATOMIC_POSITIONS crystal
Mg 0.624 0.124 0.248
Mg 0.500 0.500 0.000
Mg 0.876 0.376 0.752
Mg 0.376 0.876 0.752
Mg 0.124 0.624 0.248
La 0.000 0.000 0.000
Tb 0.740 0.740 0.480
Tb 0.260 0.260 0.520
```


No. 2
DFT (GGA-PBE) results for a geometry-optimized Mn3BeTc structure. Values from VASP.

Computed properties:
Symmetry: Pm-3m (221)
Distance to the lowest polymorph of the same formula (meV per atom): 0
ΔE_f (eV per atom): 0.619

Geometry as Quantum ESPRESSO input:
```
&SYSTEM
  ibrav = 0, nat = 5, ntyp = 3
/
ATOMIC_SPECIES
Mn 54.94 Mn.upf
Be 9.01 Be.upf
Tc 98.00 Tc.upf
CELL_PARAMETERS angstrom
3.860 0.000 0.000
0.000 3.860 0.000
0.000 0.000 3.860
ATOMIC_POSITIONS crystal
Mn 0.000 0.000 0.500
Mn 0.500 0.000 0.000
Be 0.000 0.000 0.000
Mn 0.000 0.500 0.000
Tc 0.500 0.500 0.500
```


No. 3
DFT (GGA-PBE) results for a geometry-optimized Li3ZnRu structure. Values from VASP.

Computed properties:
Symmetry: Pm-3m (221)
Distance to the lowest polymorph of the same formula (meV per atom): 7
ΔE_f (eV per atom): 0.808

Geometry as Quantum ESPRESSO input:
```
&SYSTEM
  ibrav = 0, nat = 5, ntyp = 3
/
ATOMIC_SPECIES
Li 6.94 Li.upf
Zn 65.41 Zn.upf
Ru 101.07 Ru.upf
CELL_PARAMETERS angstrom
-4.202 1.936 -0.938
-1.842 -2.176 3.763
1.111 3.715 2.693
ATOMIC_POSITIONS crystal
Li 0.000 0.000 0.500
Li 0.500 0.000 0.000
Zn 0.500 0.500 0.500
Li 0.000 0.500 0.000
Ru 0.000 0.000 0.000
```


No. 4
DFT (GGA-PBE) results for a geometry-optimized Pm3DyRu structure. Values from VASP.

Computed properties:
Symmetry: Imma (74)
Distance to the lowest polymorph of the same formula (meV per atom): 0
ΔE_f (eV per atom): -0.125

Geometry as Quantum ESPRESSO input:
```
&SYSTEM
  ibrav = 0, nat = 10, ntyp = 3
/
ATOMIC_SPECIES
Pm 145.00 Pm.upf
Ru 101.07 Ru.upf
Dy 162.50 Dy.upf
CELL_PARAMETERS angstrom
7.417 0.744 0.274
-2.993 6.828 -0.273
-3.610 -2.968 5.812
ATOMIC_POSITIONS crystal
Pm 0.052 0.782 0.770
Pm 0.532 0.322 0.290
Ru 0.532 0.032 0.000
Pm 0.532 0.742 0.710
Pm 0.012 0.282 0.230
Dy 0.558 0.282 0.777
Dy 0.505 0.782 0.223
Ru 0.032 0.532 0.000
Pm 0.032 0.822 0.290
Pm 0.032 0.242 0.710
```


No. 5
DFT (GGA-PBE) results for a geometry-optimized CsCa3Rh structure. Values from VASP.

Computed properties:
Symmetry: Pm-3m (221)
Distance to the lowest polymorph of the same formula (meV per atom): 0
ΔE_f (eV per atom): -0.096

Geometry as Quantum ESPRESSO input:
```
&SYSTEM
  ibrav = 0, nat = 5, ntyp = 3
/
ATOMIC_SPECIES
Ca 40.08 Ca.upf
Rh 102.91 Rh.upf
Cs 132.91 Cs.upf
CELL_PARAMETERS angstrom
5.786 0.000 0.000
0.000 5.786 0.000
0.000 0.000 5.786
ATOMIC_POSITIONS crystal
Ca 0.000 0.000 0.500
Rh 0.000 0.000 0.000
Cs 0.500 0.500 0.500
Ca 0.000 0.500 0.000
Ca 0.500 0.000 0.000
```


No. 6
DFT (GGA-PBE) results for a geometry-optimized BeZnCl2 structure. Values from VASP.

Computed properties:
Symmetry: P4/mmm (123)
Uncorrected formation energy (meV per atom): 328.9
Distance to the lowest polymorph of the same formula (meV per atom): 989

Geometry as Quantum ESPRESSO input:
```
&SYSTEM
  ibrav = 0, nat = 4, ntyp = 3
/
ATOMIC_SPECIES
Cl 35.45 Cl.upf
Zn 65.41 Zn.upf
Be 9.01 Be.upf
CELL_PARAMETERS angstrom
-1.482 -1.147 2.712
-2.049 -3.322 -2.524
3.611 -2.821 0.780
ATOMIC_POSITIONS crystal
Cl 0.000 0.000 0.000
Zn 0.500 0.500 0.000
Be 0.500 0.000 0.500
Cl 0.000 0.500 0.500
```


No. 7
DFT (GGA-PBE) results for a geometry-optimized BaTePS2 structure. Values from VASP.

Computed properties:
Symmetry: P4/mmm (123)
Uncorrected formation energy (meV per atom): -380.4
Distance to the lowest polymorph of the same formula (meV per atom): 170

Geometry as Quantum ESPRESSO input:
```
&SYSTEM
  ibrav = 0, nat = 5, ntyp = 4
/
ATOMIC_SPECIES
P 30.97 P.upf
Ba 137.33 Ba.upf
S 32.06 S.upf
Te 127.60 Te.upf
CELL_PARAMETERS angstrom
5.232 0.000 0.000
0.000 5.232 0.000
0.000 0.000 5.046
ATOMIC_POSITIONS crystal
P 0.000 0.000 0.500
Ba 0.500 0.500 0.500
S 0.000 0.500 0.000
S 0.500 0.000 0.000
Te 0.000 0.000 0.000
```


No. 8
DFT (GGA-PBE) results for a geometry-optimized LiSbAsO5 structure. Values from VASP.

Computed properties:
Symmetry: C2/c (15)
Uncorrected formation energy (meV per atom): -1424.9

Geometry as Quantum ESPRESSO input:
```
&SYSTEM
  ibrav = 0, nat = 16, ntyp = 4
/
ATOMIC_SPECIES
Sb 121.76 Sb.upf
O 16.00 O.upf
Li 6.94 Li.upf
As 74.92 As.upf
CELL_PARAMETERS angstrom
-3.093 4.356 -2.253
-4.655 -2.674 2.192
4.307 2.680 5.751
ATOMIC_POSITIONS crystal
Sb 0.000 0.000 0.500
O 0.077 0.923 0.250
O 0.315 0.312 0.651
O 0.244 0.745 0.934
O 0.923 0.077 0.750
Sb 0.000 0.000 0.000
Li 0.310 0.690 0.250
O 0.685 0.688 0.349
As 0.365 0.635 0.750
O 0.688 0.685 0.849
O 0.745 0.244 0.434
Li 0.690 0.310 0.750
As 0.635 0.365 0.250
O 0.255 0.756 0.566
O 0.312 0.315 0.151
O 0.756 0.255 0.066
```


No. 9
DFT (GGA-PBE) results for a geometry-optimized KCaCo structure. Values from VASP.

Computed properties:
Symmetry: I4mm (107)
ΔE_f (eV per atom): 0.633

Geometry as Quantum ESPRESSO input:
```
&SYSTEM
  ibrav = 0, nat = 3, ntyp = 3
/
ATOMIC_SPECIES
Ca 40.08 Ca.upf
Co 58.93 Co.upf
K 39.10 K.upf
CELL_PARAMETERS angstrom
-0.180 -7.351 2.594
2.712 -7.109 -1.706
0.840 7.687 1.000
ATOMIC_POSITIONS crystal
Ca 0.053 0.053 0.000
Co 0.643 0.643 0.000
K 0.303 0.303 0.000
```


No. 10
DFT (GGA-PBE) results for a geometry-optimized CrCdAg2 structure. Values from VASP.

Computed properties:
Symmetry: I4/mmm (139)
ΔE_f (eV per atom): 0.231

Geometry as Quantum ESPRESSO input:
```
&SYSTEM
  ibrav = 0, nat = 4, ntyp = 3
/
ATOMIC_SPECIES
Ag 107.87 Ag.upf
Cr 52.00 Cr.upf
Cd 112.41 Cd.upf
CELL_PARAMETERS angstrom
5.078 0.005 0.008
1.585 4.824 -0.008
-3.335 -2.409 2.976
ATOMIC_POSITIONS crystal
Ag 0.500 0.500 0.000
Cr 0.250 0.750 0.500
Ag 0.000 0.000 0.000
Cd 0.750 0.250 0.500
```


No. 11
DFT (GGA-PBE) results for a geometry-optimized TiCoRu3 structure. Values from VASP.

Computed properties:
Symmetry: Pm-3m (221)
Distance to the lowest polymorph of the same formula (meV per atom): 0
ΔE_f (eV per atom): 1.051

Geometry as Quantum ESPRESSO input:
```
&SYSTEM
  ibrav = 0, nat = 5, ntyp = 3
/
ATOMIC_SPECIES
Co 58.93 Co.upf
Ru 101.07 Ru.upf
Ti 47.87 Ti.upf
CELL_PARAMETERS angstrom
4.384 0.000 0.000
0.000 4.384 0.000
0.000 0.000 4.384
ATOMIC_POSITIONS crystal
Co 0.000 0.000 0.000
Ru 0.000 0.500 0.000
Ru 0.000 0.000 0.500
Ru 0.500 0.000 0.000
Ti 0.500 0.500 0.500
```